The following is a PBE calculation of a relaxed structure of PrNpS4, from the Alexandria database.

a b c (Å): 6.7203 5.7280 7.3322
angles (deg): 90.00 90.00 90.00
Positions (direct):
1 Pr 0.0000 0.0000 0.5000
2 Pr 0.5000 0.5000 0.5000
3 Np 0.5000 0.5000 0.0000
4 Np 0.0000 0.0000 0.0000
5 S 0.2501 0.7501 0.7645
6 S 0.7501 0.7499 0.7645
7 S 0.7498 0.2498 0.7645
8 S 0.7502 0.7498 0.2355
9 S 0.2498 0.2502 0.7645
10 S 0.2502 0.7502 0.2355
11 S 0.2499 0.2501 0.2355
12 S 0.7499 0.2499 0.2355

Results
* ΔE_f (raw): -1.23 eV/atom

The following is a PBE calculation of a relaxed structure of KLaSe, from the Alexandria database.

a b c (Å): 7.2354 7.2354 7.2354
angles (deg): 90.00 90.00 90.00
Positions (direct):
1 K 0.2500 0.2500 0.2500
2 K 0.7500 0.7500 0.2500
3 K 0.7500 0.2500 0.7500
4 K 0.2500 0.7500 0.7500
5 Se 0.5000 0.0000 0.0000
6 Se 0.0000 0.5000 0.0000
7 Se 0.0000 0.0000 0.5000
8 Se 0.5000 0.5000 0.5000
9 La 0.0000 0.0000 0.0000
10 La 0.5000 0.5000 0.0000
11 La 0.5000 0.0000 0.5000
12 La 0.0000 0.5000 0.5000

Results
* ΔE_f (raw): 0.00 eV/atom

The following is a PBE calculation of a relaxed structure of ReMoAs2, from the Alexandria database.

a b c (Å): 4.3880 4.3880 4.3880
angles (deg): 60.00 60.00 60.00
Positions (direct):
1 Re 0.5000 0.5000 0.5000
2 Mo 0.0000 0.0000 0.0000
3 As 0.2500 0.2500 0.2500
4 As 0.7500 0.7500 0.7500

Results
* ΔH_f (0 K): 0.13 eV per atom

The following is a PBE calculation of a relaxed structure of CdInGe, from the Alexandria database.

a b c (Å): 4.7838 4.7838 4.7838
angles (deg): 60.00 60.00 60.00
Positions (direct):
1 Ge 0.2500 0.2500 0.2500
2 Cd 0.0000 0.0000 0.0000
3 In 0.5000 0.5000 0.5000

Results
* ΔH_f (0 K): 0.14 eV per atom

The following is a PBE calculation of a relaxed structure of TbNdGaIr, from the Alexandria database.

a b c (Å): 5.0535 5.0535 5.0535
angles (deg): 60.00 60.00 60.00
Positions (direct):
1 Nd 0.0000 0.0000 0.0000
2 Ir 0.7500 0.7500 0.7500
3 Tb 0.5000 0.5000 0.5000
4 Ga 0.2500 0.2500 0.2500

Results
* ΔH_f (0 K): -0.57 eV per atom

The following is a PBE calculation of a relaxed structure of TbTa2Os3, from the Alexandria database.

a b c (Å): 3.1608 3.1608 10.6086
angles (deg): 90.00 90.00 90.00
Positions (direct):
1 Tb 0.5000 0.5000 0.5000
2 Ta 0.5000 0.5000 0.8409
3 Ta 0.5000 0.5000 0.1591
4 Os 0.0000 0.0000 0.0000
5 Os 0.0000 0.0000 0.7039
6 Os 0.0000 0.0000 0.2961

Results
* ΔH_f (0 K): -0.30 eV per atom

We obtain raw total energy values of -6.94 -3.17 -8.01 -2.62 -5.89 -10.64 eV/atom for the records listed above, in that order.
We obtain Fermi-level density of states values of 10.299 4.735 3.130 2.364 3.555 2.971 states/eV/f.u. for the records listed above, in that order.